[1]
Material: MgSc5Cd3
Method: DFT, GGA-PBE
State: relaxed

Cell: 8.7046 8.7046 6.2425 Å, 90.00 90.00 120.00°
Space group P6_3/mcm (No. 193)
Asymmetric unit:
1 Mg 0.0000 0.0000 0.0000 [2 per cell]
2 Sc 0.0000 0.3223 0.2500 [6 per cell]
3 Sc 0.3333 0.6667 0.0000 [4 per cell]
4 Cd 0.0000 0.3467 0.7500 [6 per cell]

[2]
Material: Cr5Ni4
Method: DFT, GGA-PBE
State: relaxed

Summary:
energy above the most stable polymorph in this dataset = 0.079 eV per atom

Cell: 6.9657 6.9657 4.9364 Å, 90.00 90.00 120.00°
Space group P6_3/mcm (No. 193)
Asymmetric unit:
1 Cr 0.0000 0.3477 0.2500 [6 per cell]
2 Cr 0.3333 0.6667 0.0000 [4 per cell]
3 Ni 0.0000 0.0000 0.0000 [2 per cell]
4 Ni 0.0000 0.3207 0.7500 [6 per cell]

[3]
Material: MnCrAs2
Method: DFT, GGA-PBE
State: relaxed

Summary:
energy above the most stable polymorph in this dataset = 0.119 eV per atom

Cell: 2.850 2.850 7.469 Å, 90.00 90.00 90.00°
Space group P4mm (No. 99)
Asymmetric unit:
1 Mn 0.000 0.000 0.000 [1 per cell]
2 Cr 0.500 0.500 0.814 [1 per cell]
3 As 0.000 0.000 0.597 [1 per cell]
4 As 0.500 0.500 0.202 [1 per cell]

[4]
Material: HgSb
Method: DFT, GGA-PBE
State: relaxed

Summary:
E_form (uncorrected) = 150.3 meV/atom
energy above the most stable polymorph in this dataset = 0.121 eV per atom

Cell: 6.014 10.437 15.505 Å, 90.00 90.00 90.00°
Space group Fddd (No. 70, origin choice 2)
Asymmetric unit:
1 Hg 0.125 0.271 0.125 [16 per cell]
2 Sb 0.125 0.125 0.522 [16 per cell]

[5]
Material: Tl2Pd4Pb3
Method: DFT, GGA-PBE
State: relaxed

Cell: 10.630 4.039 9.628 Å, 90.00 93.81 90.00°
Space group C2/m (No. 12)
Asymmetric unit:
1 Tl 0.168 0.000 0.284 [4 per cell]
2 Pd 0.111 0.500 0.087 [4 per cell]
3 Pd 0.183 0.000 0.584 [4 per cell]
4 Pb 0.000 0.500 0.500 [2 per cell]
5 Pb 0.114 0.000 0.876 [4 per cell]

[6]
Material: CrCuNi3
Method: DFT, GGA-PBE
State: relaxed

Summary:
energy above the most stable polymorph in this dataset = 1.132 eV per atom

Cell: 4.208 4.208 4.208 Å, 90.00 90.00 90.00°
Space group Pm-3m (No. 221)
Asymmetric unit:
1 Cr 0.000 0.000 0.000 [1 per cell]
2 Cu 0.500 0.500 0.500 [1 per cell]
3 Ni 0.000 0.000 0.500 [3 per cell]

[7]
Material: ThZr2Ni
Method: DFT, GGA-PBE
State: relaxed

Summary:
energy above the most stable polymorph in this dataset = 0.052 eV per atom

Cell: 3.328 3.328 7.912 Å, 90.00 90.00 90.00°
Space group P4/mmm (No. 123)
Asymmetric unit:
1 Th 0.000 0.000 0.000 [1 per cell]
2 Zr 0.500 0.500 0.305 [2 per cell]
3 Ni 0.000 0.000 0.500 [1 per cell]

[8]
Material: BaPtAu
Method: DFT, GGA-PBE
State: relaxed

Summary:
energy above the most stable polymorph in this dataset = 0.032 eV per atom

Cell: 5.282 9.333 6.898 Å, 90.00 90.00 90.00°
Space group Imma (No. 74)
Asymmetric unit:
1 Ba 0.000 0.000 0.000 [4 per cell]
2 Pt 0.250 0.250 0.250 [4 per cell]
3 Au 0.000 0.250 0.607 [4 per cell]

[9]
Material: Ba5LiRh
Method: DFT, GGA-PBE
State: relaxed

Cell: 14.443 8.344 12.823 Å, 90.00 113.28 90.00°
Space group C2/c (No. 15)
Asymmetric unit:
1 Ba 0.000 0.048 0.250 [4 per cell]
2 Ba 0.113 0.310 0.021 [8 per cell]
3 Ba 0.197 0.172 0.626 [8 per cell]
4 Li 0.000 0.497 0.750 [4 per cell]
5 Rh 0.000 0.000 0.000 [4 per cell]

[10]
Material: Ca2SmHg
Method: DFT, GGA-PBE
State: relaxed

Summary:
energy above the most stable polymorph in this dataset = 0.050 eV per atom

Cell: 3.8041 3.8041 32.3145 Å, 90.00 90.00 120.00°
Space group R3m (No. 160, hexagonal axes)
Asymmetric unit:
1 Ca 0.0000 0.0000 0.0000 [3 per cell]
2 Ca 0.0000 0.0000 0.1891 [3 per cell]
3 Sm 0.0000 0.0000 0.7603 [3 per cell]
4 Hg 0.0000 0.0000 0.5950 [3 per cell]

Record order is preserved below.
Final energy: -4.19 -7.75 -7.00 -2.06 -4.20 -5.03 -7.69 -4.37 -2.75 -2.40 eV/atom
Record order is preserved below.
Total moment: 0.0 4.9 0.4 0.0 0.0 0.0 0.0 0.0 0.0 0.0 Bohr magnetons per cell